Entry 1:
NaGa2Pd4: optimized geometry, PBE.

Structure (extended XYZ):
```
7
Lattice="-2.316 2.316 6.312 2.316 -2.316 6.312 2.316 2.316 -6.312" Properties=species:S:1:pos:R:3 pbc="T T T"
Na 0.000 0.000 0.000
Ga 0.000 0.000 4.943
Ga 0.000 0.000 7.682
Pd 2.316 0.000 0.000
Pd 0.000 0.000 2.572
Pd 0.000 2.316 0.000
Pd 0.000 0.000 10.052
```

Total magnetic moment: 0.00 μB/atom
Calculated volume: 19.3 Å³/atom
DFT formation energy: 2.190 eV/f.u.
Space-group type: No. 139
Energy: -26.0 eV for the cell shown
ΔE to the lowest computed polymorph: 0.803 eV per atom



Entry 2:
RbSbPb2: optimized geometry, PBE.

Structure (extended XYZ):
```
4
Lattice="2.646 1.528 6.605 -2.646 1.528 6.605 0.000 -3.056 6.605" Properties=species:S:1:pos:R:3 pbc="T T T"
Rb 0.000 0.000 0.000
Sb 0.000 0.000 9.908
Pb 0.000 0.000 4.238
Pb 0.000 0.000 15.578
```

Total magnetic moment: 0.00 μB/atom
Calculated volume: 40.1 Å³/atom
Formation energy (no corrections): -0.30 eV/f.u.
Space-group type: No. 166
Energy: -12.8 eV for the cell shown



Q: Which value of total magnetic moment does entry 1 give?
A: 0.00 μB/atom